# Tb2HoAg

Tb2HoAg after structural relaxation (GGA-PBE, Alexandria via LeMat-Bulk).

Unit cell a=5.454 b=5.454 c=3.703 alpha=90.00 beta=90.00 gamma=90.00
Space group P4/mmm (No. 123)
Symmetry-distinct sites (fractional):
Tb1 0.000 0.500 0.000 x2
Ho1 0.000 0.000 0.500 x1
Ag1 0.500 0.500 0.500 x1

- Uncorrected energy: -16.72 eV per formula unit
- Relative energy among the computed polymorphs: 119 meV/atom
- DFT formation energy: -6 meV per atom

# TbHoAg

TbHoAg after structural relaxation (GGA-PBE, Alexandria via LeMat-Bulk).

Unit cell a=12.924 b=3.758 c=8.400 alpha=90.00 beta=126.35 gamma=90.00
Space group C2/m (No. 12)
Symmetry-distinct sites (fractional):
Tb1 0.102 0.000 0.376 x4
Ho1 0.150 0.500 0.058 x4
Ag1 0.130 0.500 0.682 x4

- Uncorrected energy: -12.58 eV per formula unit
- Relative energy among the computed polymorphs: 3 meV/atom
- DFT formation energy: -172 meV per atom

# TbHo4Ag2

TbHo4Ag2 after structural relaxation (GGA-PBE, Alexandria via LeMat-Bulk).

Unit cell a=4.9854 b=4.9854 c=29.9355 alpha=90.00 beta=90.00 gamma=120.00
Space group R-3m (No. 166, hexagonal axes)
Symmetry-distinct sites (fractional):
Tb1 0.0000 0.0000 0.0000 x3
Ho1 0.0000 0.0000 0.2025 x6
Ho2 0.0000 0.0000 0.3961 x6
Ag1 0.0000 0.0000 0.1013 x6

- Uncorrected energy: -27.44 eV per formula unit
- DFT formation energy: 172 meV per atom

# Tb2Ho3Ag2

Tb2Ho3Ag2 after structural relaxation (GGA-PBE, Alexandria via LeMat-Bulk).

Unit cell a=5.3385 b=5.3385 c=23.0639 alpha=90.00 beta=90.00 gamma=120.00
Space group R-3m (No. 166, hexagonal axes)
Symmetry-distinct sites (fractional):
Tb1 0.0000 0.0000 0.0755 x6
Ho1 0.0000 0.0000 0.3390 x6
Ho2 0.0000 0.0000 0.5000 x3
Ag1 0.0000 0.0000 0.2123 x6

- Uncorrected energy: -29.47 eV per formula unit
- Relative energy among the computed polymorphs: 0 meV/atom
- DFT formation energy: -110 meV per atom

# TbHoTcAg

TbHoTcAg after structural relaxation (GGA-PBE, Alexandria via LeMat-Bulk).

Unit cell a=7.026 b=7.026 c=7.026 alpha=90.00 beta=90.00 gamma=90.00
Space group F-43m (No. 216)
Symmetry-distinct sites (fractional):
Tb1 0.000 0.000 0.000 x4
Ho1 0.000 0.000 0.500 x4
Tc1 0.250 0.250 0.750 x4
Ag1 0.250 0.250 0.250 x4

- Uncorrected energy: -22.92 eV per formula unit
- DFT formation energy: -123 meV per atom

# Tb2HoAg3Te6

Tb2HoAg3Te6 after structural relaxation (GGA-PBE, Alexandria via LeMat-Bulk).

Unit cell a=19.891 b=4.390 c=8.464 alpha=90.00 beta=103.35 gamma=90.00
Space group C2/m (No. 12)
Symmetry-distinct sites (fractional):
Tb1 0.173 0.000 0.307 x4
Ho1 0.000 0.500 0.000 x2
Ag1 0.000 0.500 0.500 x2
Ag2 0.205 0.000 0.779 x4
Te1 0.013 0.000 0.260 x4
Te2 0.158 0.500 0.039 x4
Te3 0.164 0.500 0.567 x4

- ΔE_f (raw): -0.844 eV/atom
- Uncorrected energy: -51.38 eV per formula unit

# TbHo2Ag3Te6

TbHo2Ag3Te6 after structural relaxation (GGA-PBE, Alexandria via LeMat-Bulk).

Unit cell a=18.921 b=4.401 c=8.651 alpha=90.00 beta=101.84 gamma=90.00
Space group C2/m (No. 12)
Symmetry-distinct sites (fractional):
Tb1 0.000 0.000 0.000 x2
Ho1 0.168 0.500 0.330 x4
Ag1 0.000 0.000 0.500 x2
Ag2 0.169 0.500 0.825 x4
Te1 0.000 0.500 0.254 x4
Te2 0.166 0.000 0.581 x4
Te3 0.168 0.000 0.079 x4

- ΔE_f (raw): -0.829 eV/atom
- Uncorrected energy: -51.14 eV per formula unit

# Tb2HoTl2Ag2

Tb2HoTl2Ag2 after structural relaxation (GGA-PBE, Alexandria via LeMat-Bulk).

Unit cell a=4.8732 b=4.8732 c=26.9152 alpha=90.00 beta=90.00 gamma=120.00
Space group R-3m (No. 166, hexagonal axes)
Symmetry-distinct sites (fractional):
Tb1 0.0000 0.0000 0.1247 x6
Ho1 0.0000 0.0000 0.0000 x3
Tl1 0.0000 0.0000 0.2588 x6
Ag1 0.0000 0.0000 0.3923 x6

- Uncorrected energy: -25.42 eV per formula unit
- DFT formation energy: -163 meV per atom

# TbHoTlAg

TbHoTlAg after structural relaxation (GGA-PBE, Alexandria via LeMat-Bulk).

Unit cell a=7.444 b=7.444 c=7.444 alpha=90.00 beta=90.00 gamma=90.00
Space group F-43m (No. 216)
Symmetry-distinct sites (fractional):
Tb1 0.000 0.000 0.000 x4
Ho1 0.000 0.000 0.500 x4
Tl1 0.250 0.250 0.750 x4
Ag1 0.250 0.250 0.250 x4

- Uncorrected energy: -15.77 eV per formula unit
- DFT formation energy: -337 meV per atom

# TbHoTmAg

TbHoTmAg after structural relaxation (GGA-PBE, Alexandria via LeMat-Bulk).

Unit cell a=7.561 b=7.561 c=7.561 alpha=90.00 beta=90.00 gamma=90.00
Space group F-43m (No. 216)
Symmetry-distinct sites (fractional):
Tb1 0.000 0.000 0.000 x4
Ho1 0.000 0.000 0.500 x4
Tm1 0.250 0.250 0.750 x4
Ag1 0.250 0.250 0.250 x4

- Uncorrected energy: -16.33 eV per formula unit
- Relative energy among the computed polymorphs: 186 meV/atom
- DFT formation energy: 49 meV per atom

# TbHoTmAg

TbHoTmAg after structural relaxation (GGA-PBE, Alexandria via LeMat-Bulk).

Unit cell a=3.537 b=3.537 c=8.828 alpha=90.00 beta=90.00 gamma=90.00
Space group P4mm (No. 99)
Symmetry-distinct sites (fractional):
Tb1 0.000 0.000 0.000 x1
Ho1 0.500 0.500 0.713 x1
Tm1 0.500 0.500 0.285 x1
Ag1 0.000 0.000 0.494 x1

- Uncorrected energy: -17.08 eV per formula unit
- Relative energy among the computed polymorphs: 0 meV/atom
- DFT formation energy: -136 meV per atom

# Ho2TcAg

Ho2TcAg after structural relaxation (GGA-PBE, Alexandria via LeMat-Bulk).

Unit cell a=6.996 b=6.996 c=6.996 alpha=90.00 beta=90.00 gamma=90.00
Space group Fm-3m (No. 225)
Symmetry-distinct sites (fractional):
Ho1 0.250 0.250 0.250 x8
Tc1 0.000 0.000 0.000 x4
Ag1 0.000 0.000 0.500 x4

- Uncorrected energy: -22.94 eV per formula unit
- Relative energy among the computed polymorphs: 76 meV/atom
- DFT formation energy: -142 meV per atom

# Ho4TcAg3

Ho4TcAg3 after structural relaxation (GGA-PBE, Alexandria via LeMat-Bulk).

Unit cell a=3.521 b=3.521 c=14.671 alpha=90.00 beta=90.00 gamma=90.00
Space group P4/mmm (No. 123)
Symmetry-distinct sites (fractional):
Ho1 0.000 0.000 0.110 x2
Ho2 0.000 0.000 0.373 x2
Tc1 0.500 0.500 0.000 x1
Ag1 0.500 0.500 0.244 x2
Ag2 0.500 0.500 0.500 x1

- Uncorrected energy: -39.24 eV per formula unit
- DFT formation energy: -251 meV per atom

# Ho5TcAg2

Ho5TcAg2 after structural relaxation (GGA-PBE, Alexandria via LeMat-Bulk).

Unit cell a=6.618 b=12.053 c=4.974 alpha=90.00 beta=90.00 gamma=90.00
Space group Pbam (No. 55)
Symmetry-distinct sites (fractional):
Ho1 0.000 0.000 0.000 x2
Ho2 0.140 0.286 0.000 x4
Ho3 0.167 0.598 0.500 x4
Tc1 0.000 0.500 0.000 x2
Ag1 0.118 0.857 0.500 x4

- Uncorrected energy: -40.37 eV per formula unit
- DFT formation energy: -177 meV per atom

# Ho2TcAg

Ho2TcAg after structural relaxation (GGA-PBE, Alexandria via LeMat-Bulk).

Unit cell a=3.462 b=3.462 c=7.304 alpha=90.00 beta=90.00 gamma=90.00
Space group P4/mmm (No. 123)
Symmetry-distinct sites (fractional):
Ho1 0.000 0.000 0.223 x2
Tc1 0.500 0.500 0.000 x1
Ag1 0.500 0.500 0.500 x1

- Uncorrected energy: -23.24 eV per formula unit
- Relative energy among the computed polymorphs: 0 meV/atom
- DFT formation energy: -218 meV per atom

# Ho8TcAg2

Ho8TcAg2 after structural relaxation (GGA-PBE, Alexandria via LeMat-Bulk).

Unit cell a=17.213 b=5.206 c=6.869 alpha=90.00 beta=108.27 gamma=90.00
Space group C2/m (No. 12)
Symmetry-distinct sites (fractional):
Ho1 0.027 0.000 0.295 x4
Ho2 0.091 0.500 0.931 x4
Ho3 0.161 0.500 0.464 x4
Ho4 0.196 0.000 0.798 x4
Tc1 0.000 0.500 0.500 x2
Ag1 0.184 0.000 0.206 x4

- Uncorrected energy: -54.12 eV per formula unit
- Relative energy among the computed polymorphs: 0 meV/atom
- DFT formation energy: -130 meV per atom

# Ho8TcAg2

Ho8TcAg2 after structural relaxation (GGA-PBE, Alexandria via LeMat-Bulk).

Unit cell a=7.681 b=15.510 c=6.081 alpha=90.00 beta=123.30 gamma=90.00
Space group Cm (No. 8)
Symmetry-distinct sites (fractional):
Ho1 0.000 0.000 0.000 x2
Ho2 0.011 0.114 0.532 x4
Ho3 0.050 0.383 0.898 x4
Ho4 0.054 0.500 0.373 x2
Ho5 0.276 0.190 0.238 x4
Tc1 0.285 0.000 0.510 x2
Ag1 0.288 0.287 0.729 x4

- Uncorrected energy: -53.29 eV per formula unit
- Relative energy among the computed polymorphs: 76 meV/atom
- DFT formation energy: -54 meV per atom

# HoZrTcAg

HoZrTcAg after structural relaxation (GGA-PBE, Alexandria via LeMat-Bulk).

Unit cell a=6.853 b=6.853 c=6.853 alpha=90.00 beta=90.00 gamma=90.00
Space group F-43m (No. 216)
Symmetry-distinct sites (fractional):
Ho1 0.000 0.000 0.000 x4
Zr1 0.000 0.000 0.500 x4
Tc1 0.250 0.250 0.750 x4
Ag1 0.250 0.250 0.250 x4

- Uncorrected energy: -26.94 eV per formula unit
- DFT formation energy: -148 meV per atom

# Ho7Ag2Te2

Ho7Ag2Te2 after structural relaxation (GGA-PBE, Alexandria via LeMat-Bulk).

Unit cell a=8.023 b=10.696 c=7.591 alpha=90.00 beta=90.00 gamma=90.00
Space group Cmmm (No. 65)
Symmetry-distinct sites (fractional):
Ho1 0.000 0.000 0.000 x2
Ho2 0.000 0.500 0.277 x4
Ho3 0.250 0.250 0.286 x8
Ag1 0.179 0.000 0.500 x4
Te1 0.000 0.285 0.000 x4

- ΔE_f (raw): -0.248 eV/atom
- Uncorrected energy: -46.76 eV per formula unit
- Relative energy among the computed polymorphs: 328 meV/atom

# Ho5AgTe5

Ho5AgTe5 after structural relaxation (GGA-PBE, Alexandria via LeMat-Bulk).

Unit cell a=13.621 b=6.135 c=8.588 alpha=90.00 beta=108.67 gamma=90.00
Space group C2/m (No. 12)
Symmetry-distinct sites (fractional):
Ho1 0.000 0.000 0.000 x2
Ho2 0.162 0.500 0.330 x4
Ho3 0.163 0.500 0.835 x4
Ag1 0.000 0.500 0.000 x2
Te1 0.000 0.500 0.500 x2
Te2 0.164 0.000 0.827 x4
Te3 0.171 0.000 0.336 x4

- ΔE_f (raw): -1.108 eV/atom
- Uncorrected energy: -53.64 eV per formula unit

Short version: magnetization = 0.000, 0.000, 0.015, 0.000, 0.000, 0.000, 0.000, 0.000, 0.006, 0.000, 0.000, 0.000, 0.000, 0.000, 0.000, 0.000, 0.000, 0.000, 0.002, 0.001 μB per formula unit, in the order given.